[1]
Density functional theory data (PBE) for a geometry-optimized Li3Tb2PaTe6 structure.

Unit cell a=7.478 b=7.478 c=7.548 alpha=99.50 beta=99.50 gamma=120.00
Last column: magnetic moment on the atom in μB.
Sites, in units of the cell vectors:
Li (0.168, 0.832, 0.500)  0.00
Li (0.832, 0.168, 0.500)  0.00
Li (0.500, 0.500, 0.500)  0.00
Tb (0.333, 0.667, 0.000)  0.11
Tb (0.667, 0.333, 0.000)  0.11
Pa (0.000, 0.000, 0.000)  1.22
Te (0.913, 0.580, 0.740)  -0.01
Te (0.754, 0.754, 0.260)  -0.01
Te (0.087, 0.420, 0.260)  -0.01
Te (0.580, 0.913, 0.740)  -0.01
Te (0.246, 0.246, 0.740)  -0.01
Te (0.420, 0.087, 0.260)  -0.01

VASP energy: -56.86 eV for the cell shown
M_tot: 1.68 μB/f.u.

[2]
Density functional theory data (PBE) for a geometry-optimized CaZnOs4 structure.

Unit cell a=5.252 b=5.252 c=5.252 alpha=60.00 beta=60.00 gamma=60.00
Sites, in units of the cell vectors:
Ca (0.000, 0.000, 0.000)
Zn (0.750, 0.750, 0.750)
Os (0.874, 0.375, 0.375)
Os (0.375, 0.375, 0.874)
Os (0.375, 0.874, 0.375)
Os (0.375, 0.375, 0.375)

M_tot: 0.00 μB/f.u.
DFT formation energy: 2.5 eV/f.u.

[3]
Density functional theory data (PBE) for a geometry-optimized Li2TlMo structure.

Unit cell a=2.789 b=2.789 c=9.316 alpha=90.00 beta=90.00 gamma=90.00
Sites, in units of the cell vectors:
Li (0.000, 0.000, 0.013)
Li (0.000, 0.000, 0.487)
Mo (0.500, 0.500, 0.250)
Tl (0.500, 0.500, 0.750)

M_tot: 0.05 μB/f.u.
DFT formation energy: 1.5 eV/f.u.
offset from the most stable computed form: 0.015 eV per atom

[4]
Density functional theory data (PBE) for a geometry-optimized ZnCrCu2 structure.

Unit cell a=4.575 b=4.575 c=4.575 alpha=131.07 beta=131.07 gamma=71.70
Last column: magnetic moment on the atom in μB.
Sites, in units of the cell vectors:
Cr (0.250, 0.750, 0.500)  3.30
Cu (0.000, 0.000, 0.000)  0.09
Cu (0.750, 0.250, 0.500)  0.08
Zn (0.500, 0.500, 0.000)  0.01

M_tot: 3.68 μB/f.u.
DFT formation energy: 0.6 eV/f.u.

[5]
Density functional theory data (PBE) for a geometry-optimized LaErPb structure.

Unit cell a=4.713 b=4.713 c=8.788 alpha=90.00 beta=90.00 gamma=90.00
Last column: magnetic moment on the atom in μB.
Sites, in units of the cell vectors:
La (0.813, 0.866, 0.571)  0.17
La (0.314, 0.367, 0.268)  0.17
Er (0.814, 0.366, 0.920)  0.23
Er (0.314, 0.866, 0.920)  0.23
Pb (0.814, 0.867, 0.181)  -0.01
Pb (0.313, 0.366, 0.658)  -0.01

M_tot: 0.80 μB/f.u.
DFT formation energy: -1.4 eV/f.u.
offset from the most stable computed form: 0.033 eV per atom

[6]
Density functional theory data (PBE) for a geometry-optimized KRuPtBr6 structure.

Unit cell a=6.666 b=6.876 c=7.369 alpha=91.41 beta=90.73 gamma=58.95
Last column: magnetic moment on the atom in μB.
Sites, in units of the cell vectors:
K (0.984, 0.008, 0.000)  0.00
Ru (0.664, 0.668, 0.500)  0.13
Pt (0.330, 0.335, 0.500)  0.39
Br (0.999, 0.363, 0.309)  0.02
Br (0.371, 0.975, 0.709)  0.12
Br (0.641, 0.369, 0.675)  0.00
Br (0.999, 0.638, 0.691)  0.02
Br (0.371, 0.654, 0.291)  0.12
Br (0.641, 0.990, 0.325)  0.00

VASP energy: -30.85 eV for the cell shown
M_tot: 0.91 μB/f.u.

[7]
Density functional theory data (PBE) for a geometry-optimized AgAsCl2 structure.

Unit cell a=7.300 b=7.300 c=7.300 alpha=152.92 beta=142.21 gamma=47.11
Sites, in units of the cell vectors:
As (0.250, 0.750, 0.500)
Ag (0.750, 0.250, 0.500)
Cl (0.104, 0.104, 0.000)
Cl (0.396, 0.396, 0.000)

M_tot: 0.00 μB/f.u.
offset from the most stable computed form: 0.192 eV per atom

[8]
Density functional theory data (PBE) for a geometry-optimized SrIn2Fe structure.

Unit cell a=5.576 b=5.576 c=5.576 alpha=129.41 beta=129.41 gamma=74.35
Last column: magnetic moment on the atom in μB.
Sites, in units of the cell vectors:
Fe (0.750, 0.250, 0.500)  2.89
In (0.000, 0.000, 0.000)  -0.04
In (0.250, 0.750, 0.500)  -0.02
Sr (0.500, 0.500, 0.000)  -0.04

M_tot: 2.73 μB/f.u.
DFT formation energy: 1.1 eV/f.u.